{
  "formula": "BePtSe",
  "functional": "PBE-GGA",
  "state": "optimized geometry",
  "spacegroup": "P1 (1)",
  "final_energy_ev_per_cell": -29.09,
  "crystal_system": "triclinic",
  "vol_a3_per_atom": 17.69,
  "formation_energy_uncorrected_mev_per_atom": -431,
  "lattice": [[8.8988, -0.0070, -0.0734], [-0.0039, 3.6745, -0.0010], [0.2275, -1.8348, 3.2448]],
  "species": ["Se", "Be", "Se", "Be", "Pt", "Pt"],
  "frac_coords": [[0.0039, 0.0808, 0.2617], [0.4523, 0.3861, 0.8775], [0.3651, 0.7226, 0.5511], [0.7223, 0.1123, 0.3265], [0.6441, 0.7919, 0.6866], [0.8510, 0.4279, 0.9569]]
}